1:
This record from Alexandria describes crystalline PmAg3Cl6 at its relaxed geometry. The functional is PBE-GGA.

Cell: 6.9554 6.9554 7.4659 Å, 62.24 62.24 60.00°
With the nearest neighbours (Å) after each atom.
Sites, in units of the cell vectors:
1 Cl 0.4437 0.7520 0.7468  3 Ag 2.71-2.91, 1 Pm 2.76
2 Ag 0.1503 0.1503 0.5492  6 Cl 2.71-2.90
3 Cl 0.7520 0.0574 0.7468  3 Ag 2.71-2.91, 1 Pm 2.76
4 Cl 0.9414 0.5707 0.2462  3 Ag 2.70-2.91, 1 Pm 2.72
5 Cl 0.5707 0.2416 0.2462  3 Ag 2.70-2.91, 1 Pm 2.72
6 Cl 0.0574 0.4437 0.7468  3 Ag 2.71-2.91, 1 Pm 2.76
7 Cl 0.2416 0.9414 0.2462  3 Ag 2.70-2.91, 1 Pm 2.72
8 Ag 0.6461 0.6461 0.0618  6 Cl 2.70-2.91
9 Ag 0.3529 0.3529 0.9413  6 Cl 2.71-2.91
10 Pm 0.8438 0.8438 0.4687  6 Cl 2.72-2.76

Output
Magnetization in Bohr magnetons per cell: 0.00
ρ in g/cm3: 4.29
Symmetry: R3, No. 146

2:
This record from Alexandria describes crystalline PmAg3Cl6 at its relaxed geometry. The functional is PBE-GGA.

Cell: 6.9446 7.0244 10.7332 Å, 91.46 90.00 90.00°
With the nearest neighbours (Å) after each atom.
Sites, in units of the cell vectors:
1 Cl 0.3292 0.8394 0.9106  2 Ag 2.62-2.85, 1 Pm 2.71
2 Cl 0.3899 0.3785 0.7328  2 Ag 2.63-2.74, 1 Pm 2.77
3 Cl 0.3257 0.8399 0.5586  2 Ag 2.61-2.69, 1 Pm 2.74
4 Ag 0.9705 0.5140 0.2411  4 Cl 2.62-2.74
5 Cl 0.1743 0.3399 0.0586  2 Ag 2.61-2.69, 1 Pm 2.74
6 Cl 0.8899 0.1215 0.7672  2 Ag 2.63-2.74, 1 Pm 2.77
7 Cl 0.1708 0.3394 0.4106  2 Ag 2.62-2.85, 1 Pm 2.71
8 Pm 0.0000 0.0000 0.0000  6 Cl 2.71-2.77
9 Ag 0.5000 0.5000 0.0000  4 Cl 2.61-2.85
10 Ag 0.4705 0.9860 0.2589  4 Cl 2.62-2.74
11 Cl 0.6708 0.1606 0.0894  2 Ag 2.62-2.85, 1 Pm 2.71
12 Cl 0.8292 0.6606 0.5894  2 Ag 2.62-2.85, 1 Pm 2.71
13 Pm 0.5000 0.5000 0.5000  6 Cl 2.71-2.77
14 Ag 0.0295 0.4860 0.7589  4 Cl 2.62-2.74
15 Cl 0.6101 0.6215 0.2672  2 Ag 2.63-2.74, 1 Pm 2.77
16 Cl 0.1101 0.8785 0.2328  2 Ag 2.63-2.74, 1 Pm 2.77
17 Cl 0.8257 0.6601 0.9414  2 Ag 2.61-2.69, 1 Pm 2.74
18 Cl 0.6743 0.1601 0.4414  2 Ag 2.61-2.69, 1 Pm 2.74
19 Ag 0.0000 0.0000 0.5000  4 Cl 2.61-2.85
20 Ag 0.5295 0.0140 0.7411  4 Cl 2.62-2.74

Output
Magnetization in Bohr magnetons per cell: 0.00
ρ in g/cm3: 4.32
Symmetry: P2_1/c, No. 14

What should be chosen as the least stable of them? Choose 2.

1:
This record from Alexandria describes crystalline Pr4Ag2Cl at its relaxed geometry. The functional is PBE-GGA.

Cell: 5.4224 5.4224 8.3712 Å, 108.90 108.90 90.00°
With the nearest neighbours (Å) after each atom.
Sites, in units of the cell vectors:
1 Pr 0.5000 0.0000 0.0000  2 Cl 2.71
2 Pr 0.8054 0.8054 0.6107  1 Cl 2.90, 1 Ag 2.93
3 Pr 0.1946 0.1946 0.3893  1 Cl 2.90, 1 Ag 2.93
4 Pr 0.0000 0.5000 0.0000  2 Cl 2.71
5 Ag 0.3912 0.3912 0.7825  5 Pr 2.93-3.16, 1 Ag 3.24
6 Ag 0.6088 0.6088 0.2175  5 Pr 2.93-3.16, 1 Ag 3.24
7 Cl 0.0000 0.0000 0.0000  6 Pr 2.71-2.90

Output
Magnetization in Bohr magnetons per cell: 0.00
ρ in g/cm3: 6.18
Symmetry: I4/mmm, No. 139

2:
This record from Alexandria describes crystalline Pr4Ag2Cl at its relaxed geometry. The functional is PBE-GGA.

Cell: 4.1741 6.9356 7.8100 Å, 73.55 74.50 72.49°
With the nearest neighbours (Å) after each atom.
Sites, in units of the cell vectors:
1 Pr 0.9049 0.7993 0.3910  1 Cl 2.95, 4 Ag 3.17-3.30
2 Cl 0.0000 0.0000 0.0000  6 Pr 2.85-2.95
3 Pr 0.6700 0.7416 0.9184  2 Cl 2.85, 2 Ag 3.16
4 Ag 0.3802 0.5610 0.6787  1 Ag 2.97, 7 Pr 3.16-3.30
5 Pr 0.3300 0.2584 0.0816  2 Cl 2.85, 2 Ag 3.16
6 Pr 0.0951 0.2007 0.6090  1 Cl 2.95, 4 Ag 3.17-3.30
7 Ag 0.6198 0.4390 0.3213  1 Ag 2.97, 7 Pr 3.16-3.30

Output
Magnetization in Bohr magnetons per cell: 0.00
ρ in g/cm3: 6.68
Symmetry: C2/m, No. 12

What should be chosen as the least stable of them? Choose 1.

1:
This record from Alexandria describes crystalline PrAgCl4 at its relaxed geometry. The functional is PBE-GGA.

Cell: 4.7511 4.9500 7.3731 Å, 90.13 74.65 90.00°
With the nearest neighbours (Å) after each atom.
Sites, in units of the cell vectors:
1 Cl 0.6255 0.9960 0.7792  1 Ag 2.52
2 Cl 0.1213 0.4956 0.7882  2 Pr 2.81
3 Cl 0.4345 0.9980 0.2326  2 Ag 2.71-2.82, 2 Pr 2.98
4 Ag 0.8668 0.9994 0.4305  5 Cl 2.52-2.82
5 Cl 0.9244 0.4982 0.2593  2 Ag 2.76, 2 Pr 3.00-3.03
6 Pr 0.5352 0.4965 0.9990  8 Cl 2.81-3.03

Output
Magnetization in Bohr magnetons per cell: 0.00
ρ in g/cm3: 3.88
Symmetry: P1, No. 1

2:
This record from Alexandria describes crystalline PrAgCl4 at its relaxed geometry. The functional is PBE-GGA.

Cell: 4.1871 7.2676 12.8303 Å, 87.97 90.00 90.00°
With the nearest neighbours (Å) after each atom.
Sites, in units of the cell vectors:
1 Cl 0.5005 0.1719 0.8993  2 Ag 2.74, 1 Pr 2.75
2 Cl 0.4995 0.8281 0.1007  2 Ag 2.74, 1 Pr 2.75
3 Pr 0.5000 0.5000 0.0000  6 Cl 2.75-2.80
4 Cl 0.0000 0.3664 0.1260  2 Pr 2.80
5 Cl 0.0000 0.6336 0.8740  2 Pr 2.80
6 Ag 0.0000 0.0000 0.0000  4 Cl 2.74
7 Cl 0.9995 0.6719 0.3993  2 Ag 2.74, 1 Pr 2.75
8 Ag 0.5000 0.5000 0.5000  4 Cl 2.74
9 Cl 0.0005 0.3281 0.6007  2 Ag 2.74, 1 Pr 2.75
10 Cl 0.5000 0.1336 0.3740  2 Pr 2.80
11 Pr 0.0000 0.0000 0.5000  6 Cl 2.75-2.80
12 Cl 0.5000 0.8664 0.6260  2 Pr 2.80

Output
Magnetization in Bohr magnetons per cell: 0.00
ρ in g/cm3: 3.32
Symmetry: C2/m, No. 12

What should be chosen as the least stable of them? Choose 1.

1:
This record from Alexandria describes crystalline AgPt2Cl at its relaxed geometry. The functional is PBE-GGA.

Cell: 2.8701 2.8701 8.1770 Å, 90.00 90.00 90.00°
With the nearest neighbours (Å) after each atom.
Sites, in units of the cell vectors:
1 Pt 0.0000 0.0000 0.9996  4 Pt 2.87, 4 Cl 2.88, 4 Ag 2.88
2 Pt 0.0000 0.0000 0.5004  4 Pt 2.87, 4 Cl 2.88, 4 Ag 2.88
3 Ag 0.5000 0.5000 0.2500  4 Ag 2.87, 8 Pt 2.88
4 Cl 0.5000 0.5000 0.7500  4 Cl 2.87, 8 Pt 2.88

Output
Magnetization in Bohr magnetons per cell: 0.00
ρ in g/cm3: 13.15
Symmetry: P4/mmm, No. 123

2:
This record from Alexandria describes crystalline AgPt2Cl at its relaxed geometry. The functional is PBE-GGA.

Cell: 5.5460 5.5460 5.5460 Å, 139.48 139.48 58.64°
With the nearest neighbours (Å) after each atom.
Sites, in units of the cell vectors:
1 Cl 0.7500 0.2500 0.5000  4 Ag 2.72
2 Ag 0.2500 0.7500 0.5000  4 Cl 2.72
3 Pt 0.5000 0.5000 0.0000  4 Pt 2.72
4 Pt 0.0000 0.0000 0.0000  4 Pt 2.72

Output
Magnetization in Bohr magnetons per cell: 0.00
ρ in g/cm3: 12.42
Symmetry: I4/mmm, No. 139

What should be chosen as the least stable of them? Choose 2.

1:
This record from Alexandria describes crystalline Ag2PtCl6 at its relaxed geometry. The functional is PBE-GGA.

Cell: 6.1368 6.1368 11.6285 Å, 90.00 90.00 90.00°
With the nearest neighbours (Å) after each atom.
Sites, in units of the cell vectors:
1 Cl 0.3149 0.3149 0.3509  1 Pt 2.36
2 Cl 0.1851 0.8149 0.1491  1 Pt 2.36
3 Cl 0.2249 0.7751 0.5000  1 Pt 2.39
4 Ag 0.5000 0.5000 0.1595  6 Cl 2.69-2.74
5 Ag 0.0000 0.0000 0.3405  6 Cl 2.69-2.74
6 Cl 0.1851 0.8149 0.8509  1 Pt 2.36
7 Pt 0.5000 0.5000 0.5000  6 Cl 2.36-2.39
8 Cl 0.7249 0.7249 0.0000  1 Pt 2.39
9 Cl 0.7751 0.2249 0.5000  1 Pt 2.39
10 Cl 0.6851 0.6851 0.6491  1 Pt 2.36
11 Cl 0.6851 0.6851 0.3509  1 Pt 2.36
12 Cl 0.3149 0.3149 0.6491  1 Pt 2.36
13 Cl 0.8149 0.1851 0.8509  1 Pt 2.36
14 Cl 0.8149 0.1851 0.1491  1 Pt 2.36
15 Ag 0.5000 0.5000 0.8405  6 Cl 2.69-2.74
16 Ag 0.0000 0.0000 0.6595  6 Cl 2.69-2.74
17 Pt 0.0000 0.0000 0.0000  6 Cl 2.36-2.39
18 Cl 0.2751 0.2751 0.0000  1 Pt 2.39

Output
Magnetization in Bohr magnetons per cell: 0.00
ρ in g/cm3: 4.73
Symmetry: P4_2/mnm, No. 136

2:
This record from Alexandria describes crystalline Ag2PtCl6 at its relaxed geometry. The functional is PBE-GGA.

Cell: 6.7250 6.2916 10.9311 Å, 90.00 89.96 90.00°
With the nearest neighbours (Å) after each atom.
Sites, in units of the cell vectors:
1 Cl 0.2157 0.2840 0.0011  1 Pt 2.35
2 Cl 0.6510 0.2940 0.1552  1 Pt 2.36
3 Cl 0.3457 0.7150 0.1500  1 Pt 2.36
4 Cl 0.7843 0.7160 0.9989  1 Pt 2.35
5 Ag 0.4991 0.9995 0.3116  6 Cl 2.71-2.88
6 Cl 0.8490 0.7940 0.3448  1 Pt 2.36
7 Ag 0.0009 0.4995 0.1884  6 Cl 2.71-2.88
8 Ag 0.9991 0.5005 0.8116  6 Cl 2.71-2.88
9 Cl 0.1510 0.2060 0.6552  1 Pt 2.36
10 Pt 0.0000 0.0000 0.5000  6 Cl 2.35-2.36
11 Cl 0.6543 0.2850 0.8500  1 Pt 2.36
12 Cl 0.7157 0.2160 0.5011  1 Pt 2.35
13 Cl 0.1543 0.2150 0.3500  1 Pt 2.36
14 Cl 0.8457 0.7850 0.6500  1 Pt 2.36
15 Cl 0.3490 0.7060 0.8448  1 Pt 2.36
16 Pt 0.5000 0.5000 0.0000  6 Cl 2.35-2.36
17 Cl 0.2843 0.7840 0.4989  1 Pt 2.35
18 Ag 0.5009 0.0005 0.6884  6 Cl 2.71-2.88

Output
Magnetization in Bohr magnetons per cell: 0.00
ρ in g/cm3: 4.48
Symmetry: P2_1/c, No. 14

What should be chosen as the least stable of them? Choose 1.

1:
This record from Alexandria describes crystalline AgPtCl3 at its relaxed geometry. The functional is PBE-GGA.

Cell: 4.8811 4.8811 4.8811 Å, 90.00 90.00 90.00°
With the nearest neighbours (Å) after each atom.
Sites, in units of the cell vectors:
1 Cl 0.0000 0.0000 0.5000  2 Pt 2.44
2 Cl 0.5000 0.0000 0.0000  2 Pt 2.44
3 Cl 0.0000 0.5000 0.0000  2 Pt 2.44
4 Pt 0.0000 0.0000 0.0000  6 Cl 2.44
5 Ag 0.5000 0.5000 0.5000  12 Cl 3.45

Output
Magnetization in Bohr magnetons per cell: 0.00
ρ in g/cm3: 5.84
Symmetry: Pm-3m, No. 221

2:
This record from Alexandria describes crystalline AgPtCl3 at its relaxed geometry. The functional is PBE-GGA.

Cell: 5.2429 9.6004 11.3329 Å, 100.28 90.00 90.00°
With the nearest neighbours (Å) after each atom.
Sites, in units of the cell vectors:
1 Cl 0.4353 0.5206 0.7430  1 Pt 2.30
2 Pt 0.2174 0.5833 0.9210  4 Cl 2.30-2.34
3 Ag 0.1678 0.2858 0.1960  4 Cl 2.75-2.92, 1 Pt 2.83, 2 Ag 3.02
4 Ag 0.6678 0.2142 0.3040  4 Cl 2.75-2.92, 1 Pt 2.83, 2 Ag 3.02
5 Cl 0.0791 0.2993 0.4523  1 Pt 2.30
6 Ag 0.8322 0.7142 0.8040  4 Cl 2.75-2.92, 1 Pt 2.83, 2 Ag 3.02
7 Cl 0.4938 0.8657 0.3982  2 Pt 2.34
8 Cl 0.4209 0.7993 0.9523  1 Pt 2.30
9 Pt 0.7826 0.4167 0.0790  4 Cl 2.30-2.34
10 Cl 0.5791 0.2007 0.0477  1 Pt 2.30
11 Pt 0.7174 0.9167 0.5790  4 Cl 2.30-2.34
12 Cl 0.0647 0.0206 0.2430  1 Pt 2.30
13 Cl 0.9353 0.9794 0.7570  1 Pt 2.30
14 Ag 0.3322 0.7858 0.6960  4 Cl 2.75-2.92, 1 Pt 2.83, 2 Ag 3.02
15 Cl 0.5062 0.1343 0.6018  2 Pt 2.34
16 Cl 0.9209 0.7007 0.5477  1 Pt 2.30
17 Cl 0.5647 0.4794 0.2570  1 Pt 2.30
18 Cl 0.0062 0.3657 0.8982  2 Pt 2.34
19 Cl 0.9938 0.6343 0.1018  2 Pt 2.34
20 Pt 0.2826 0.0833 0.4210  4 Cl 2.30-2.34

Output
Magnetization in Bohr magnetons per cell: 0.00
ρ in g/cm3: 4.84
Symmetry: P2_1/c, No. 14

3:
This record from Alexandria describes crystalline AgPtCl3 at its relaxed geometry. The functional is PBE-GGA.

Cell: 4.9715 4.9715 4.9715 Å, 90.00 90.00 90.00°
With the nearest neighbours (Å) after each atom.
Sites, in units of the cell vectors:
1 Ag 0.0000 0.0000 0.0000  6 Cl 2.49
2 Cl 0.0000 0.5000 0.0000  2 Ag 2.49
3 Cl 0.0000 0.0000 0.5000  2 Ag 2.49
4 Cl 0.5000 0.0000 0.0000  2 Ag 2.49
5 Pt 0.5000 0.5000 0.5000  12 Cl 3.52

Output
Magnetization in Bohr magnetons per cell: 1.25
ρ in g/cm3: 5.53
Symmetry: Pm-3m, No. 221

What should be chosen as the least stable of them? Choose 3.